(1)
La6HIr2I3 | the Alexandria database | PBE-GGA | optimized geometry; E = -5.553 eV/atom; space group = C2/m
1.0
7.283 0.010 -0.002
-3.631 6.313 -0.002
-1.220 -2.112 8.235
Ir La I H
2 6 3 1
direct
0.666 0.334 0.000
0.334 0.666 0.000
0.400 0.061 0.186
0.722 0.722 0.187
0.600 0.939 0.814
0.278 0.278 0.813
0.939 0.600 0.814
0.061 0.400 0.186
0.832 0.168 0.500
0.168 0.832 0.500
0.500 0.500 0.500
0.000 0.000 0.000

=====

(2)
La4HIrI2 | the Alexandria database | PBE-GGA | optimized geometry; E = -5.226 eV/atom; space group = P2/m
1.0
4.187 0.000 0.000
0.000 7.043 0.096
0.000 -2.488 8.131
La H I Ir
4 1 2 1
direct
0.500 0.760 0.814
0.000 0.269 0.809
0.500 0.240 0.186
0.000 0.731 0.191
0.500 0.500 0.000
0.000 0.500 0.500
0.500 0.000 0.500
0.000 0.000 0.000

=====

(3)
Nd8HIr3I4 | the Alexandria database | PBE-GGA | optimized geometry; E = -5.497 eV/atom; space group = R-3m
1.0
-1.798 1.192 -8.055
-5.605 -7.578 0.130
-1.721 5.954 5.581
Nd I H Ir
8 4 1 3
direct
0.725 0.684 0.955
0.770 0.315 0.540
0.770 0.316 0.045
0.729 0.686 0.457
0.271 0.314 0.543
0.230 0.685 0.460
0.230 0.684 0.955
0.275 0.316 0.045
0.000 0.000 0.500
0.500 0.000 0.000
0.500 0.000 0.500
0.000 0.000 0.000
0.000 0.500 0.000
0.500 0.500 0.000
0.500 0.500 0.500
0.000 0.500 0.500

=====

(4)
HIrIO2 | the Alexandria database | PBE-GGA | optimized geometry; relative energy among the computed polymorphs = 5.77 eV per formula unit; space group = P4/mmm
1.0
4.060 0.000 0.000
0.000 4.060 0.000
0.000 0.000 3.487
O I Ir H
2 1 1 1
direct
0.000 0.500 0.000
0.500 0.000 0.000
0.000 0.000 0.500
0.500 0.500 0.500
0.000 0.000 0.000

=====

(5)
HIrIO2 | the Alexandria database | PBE-GGA | optimized geometry; relative energy among the computed polymorphs = 0.00 eV per formula unit; space group = P4/mmm
1.0
3.730 0.000 0.000
0.000 3.730 0.000
0.000 0.000 6.280
Ir O H I
1 2 1 1
direct
0.000 0.000 0.000
0.000 0.500 0.000
0.500 0.000 0.000
0.500 0.500 0.500
0.000 0.000 0.500

=====

(6)
H2IrIO | the Alexandria database | PBE-GGA | optimized geometry; E = -3.834 eV/atom; space group = P4/mmm
1.0
-0.505 2.731 -3.211
-3.352 0.916 1.306
1.753 3.077 2.341
H Ir O I
2 1 1 1
direct
0.000 0.000 0.500
0.500 0.000 0.000
0.000 0.000 0.000
0.000 0.500 0.000
0.500 0.500 0.500

=====

(7)
H2IrOsI | the Alexandria database | PBE-GGA | optimized geometry; E = -4.264 eV/atom; space group = P4/mmm
1.0
3.657 0.000 0.000
0.000 5.665 0.000
0.000 0.000 3.657
I H Ir Os
1 2 1 1
direct
0.000 0.000 0.000
0.000 0.000 0.500
0.500 0.000 0.000
0.000 0.500 0.000
0.500 0.500 0.500

=====

(8)
H6IrPdI | the Alexandria database | PBE-GGA | optimized geometry; E = -3.924 eV/atom; space group = P1
1.0
4.913 0.572 1.463
2.959 4.263 0.677
1.317 -0.179 6.381
H Ir I Pd
6 1 1 1
direct
0.415 0.132 0.245
0.104 0.316 0.372
0.449 0.079 0.599
0.611 0.300 0.578
0.959 0.606 0.630
0.278 0.726 0.499
0.397 0.351 0.410
0.183 0.851 0.092
0.602 0.638 0.575

=====

(9)
Pm6HIr2I3 | the Alexandria database | PBE-GGA | optimized geometry; E = -5.348 eV/atom; space group = C2/m
1.0
-6.813 -0.874 1.928
3.711 -5.535 -2.547
3.393 0.275 7.693
Pm I H Ir
6 3 1 2
direct
0.398 0.061 0.184
0.061 0.398 0.184
0.939 0.602 0.816
0.275 0.275 0.815
0.602 0.939 0.816
0.725 0.725 0.185
0.500 0.500 0.500
0.832 0.168 0.500
0.168 0.832 0.500
0.000 0.000 0.000
0.667 0.333 0.000
0.333 0.667 0.000

=====

(10)
Pm8HIr3I3 | the Alexandria database | PBE-GGA | optimized geometry; E = -5.573 eV/atom; space group = C2/m
1.0
8.276 0.001 0.000
-4.137 7.163 -0.024
-0.001 -4.744 7.936
Pm I Ir H
8 3 3 1
direct
0.271 0.541 0.312
0.770 0.044 0.313
0.726 0.956 0.687
0.230 0.956 0.687
0.274 0.044 0.313
0.729 0.459 0.688
0.229 0.459 0.686
0.771 0.541 0.314
0.000 0.500 0.000
0.000 0.000 0.000
0.500 0.500 0.000
0.000 0.500 0.500
0.500 0.500 0.500
0.500 0.000 0.500
0.000 0.000 0.500

=====

(11)
Pr8HIr3I4 | the Alexandria database | PBE-GGA | optimized geometry; E = -5.499 eV/atom; space group = R-3m
1.0
8.395 0.000 0.000
0.000 9.465 0.743
-4.198 -4.193 5.945
H Pr Ir I
1 8 3 4
direct
0.000 0.500 0.000
0.275 0.315 0.045
0.271 0.314 0.542
0.230 0.685 0.955
0.725 0.685 0.955
0.230 0.686 0.461
0.770 0.315 0.045
0.770 0.314 0.539
0.729 0.686 0.458
0.000 0.500 0.500
0.500 0.500 0.500
0.500 0.500 0.000
0.500 0.000 0.000
0.000 0.000 0.500
0.500 0.000 0.500
0.000 0.000 0.000

=====

(12)
Sb2HIrI | the Alexandria database | PBE-GGA | optimized geometry; relative energy among the computed polymorphs = 0.47 eV per formula unit; space group = P4/mmm
1.0
4.337 0.000 0.000
0.000 4.337 0.000
0.000 0.000 5.269
Sb H Ir I
2 1 1 1
direct
0.500 0.000 0.000
0.000 0.500 0.000
0.000 0.000 0.000
0.500 0.500 0.500
0.000 0.000 0.500

=====

What did the tenth record say?
Pm8HIr3I3 | the Alexandria database | PBE-GGA | optimized geometry; E = -5.573 eV/atom; space group = C2/m
1.0
8.276 0.001 0.000
-4.137 7.163 -0.024
-0.001 -4.744 7.936
Pm I Ir H
8 3 3 1
direct
0.271 0.541 0.312
0.770 0.044 0.313
0.726 0.956 0.687
0.230 0.956 0.687
0.274 0.044 0.313
0.729 0.459 0.688
0.229 0.459 0.686
0.771 0.541 0.314
0.000 0.500 0.000
0.000 0.000 0.000
0.500 0.500 0.000
0.000 0.500 0.500
0.500 0.500 0.500
0.500 0.000 0.500
0.000 0.000 0.500